# 1
DFT (meta-GGA SCAN) results for a crystal of Zn36Ga5Ni8 relaxed with PBEsol.

abc: 8.701 8.701 8.701
angles: 90.00 90.00 90.00
Fractional positions:
Zn 0.000 0.000 0.313
Zn 0.000 0.000 0.687
Zn 0.000 0.313 0.000
Zn 0.000 0.687 0.000
Zn 0.054 0.294 0.294
Zn 0.054 0.706 0.706
Zn 0.139 0.500 0.500
Zn 0.179 0.179 0.538
Zn 0.179 0.462 0.821
Zn 0.179 0.538 0.179
Zn 0.179 0.821 0.462
Zn 0.294 0.054 0.294
Zn 0.294 0.294 0.054
Zn 0.294 0.706 0.946
Zn 0.294 0.946 0.706
Zn 0.313 0.000 0.000
Zn 0.462 0.179 0.821
Zn 0.462 0.821 0.179
Zn 0.500 0.139 0.500
Zn 0.500 0.500 0.139
Zn 0.500 0.500 0.861
Zn 0.500 0.861 0.500
Zn 0.538 0.179 0.179
Zn 0.538 0.821 0.821
Zn 0.687 0.000 0.000
Zn 0.706 0.054 0.706
Zn 0.706 0.294 0.946
Zn 0.706 0.706 0.054
Zn 0.706 0.946 0.294
Zn 0.821 0.179 0.462
Zn 0.821 0.462 0.179
Zn 0.821 0.538 0.821
Zn 0.821 0.821 0.538
Zn 0.861 0.500 0.500
Zn 0.946 0.294 0.706
Zn 0.946 0.706 0.294
Ga 0.000 0.000 0.000
Ga 0.384 0.384 0.616
Ga 0.384 0.616 0.384
Ga 0.616 0.384 0.384
Ga 0.616 0.616 0.616
Ni 0.176 0.176 0.824
Ni 0.176 0.824 0.176
Ni 0.335 0.335 0.335
Ni 0.335 0.665 0.665
Ni 0.665 0.335 0.665
Ni 0.665 0.665 0.335
Ni 0.824 0.176 0.176
Ni 0.824 0.824 0.824

The energy of formation is -8.15 eV per formula unit. Its space-group type is P-43m.

---

# 2
DFT (meta-GGA SCAN) results for a crystal of Mn2CoPb relaxed with PBEsol.

abc: 3.041 3.041 6.834
angles: 90.00 90.00 90.00
Fractional positions:
Mn 0.000 0.000 0.194
Mn 0.000 0.000 0.806
Co 0.500 0.500 0.000
Pb 0.500 0.500 0.500

The energy of formation is -0.07 eV per formula unit. Its space-group type is P4/mmm. As for the energy above the most stable polymorph in this dataset: 0.00 kJ/mol of atoms.

---

# 3
DFT (meta-GGA SCAN) results for a crystal of Eu2AgGe relaxed with PBEsol.

abc: 5.189 5.189 5.189
angles: 60.00 60.00 60.00
Fractional positions:
Eu 0.250 0.250 0.250
Eu 0.750 0.750 0.750
Ag 0.000 0.000 0.000
Ge 0.500 0.500 0.500

The energy of formation is -2.06 eV per formula unit. Its space-group type is Fm-3m.

---

# 4
DFT (meta-GGA SCAN) results for a crystal of K2BaRePt relaxed with PBEsol.

abc: 6.131 6.131 5.116
angles: 90.00 90.00 90.00
Fractional positions:
K 0.000 0.500 0.000
K 0.500 0.000 0.000
Ba 0.000 0.000 0.000
Re 0.000 0.000 0.500
Pt 0.500 0.500 0.500

The energy of formation is 9.82 eV per formula unit. Its space-group type is P4/mmm.

---

# 5
DFT (meta-GGA SCAN) results for a crystal of MgZr4Zn relaxed with PBEsol.

abc: 5.680 5.680 5.680
angles: 60.00 60.00 60.00
Fractional positions:
Mg 0.000 0.000 0.000
Zr 0.375 0.375 0.375
Zr 0.375 0.375 0.876
Zr 0.375 0.876 0.375
Zr 0.876 0.375 0.375
Zn 0.750 0.750 0.750

The energy of formation is 2.17 eV per formula unit. Its space-group type is F-43m.

---

# 6
DFT (meta-GGA SCAN) results for a crystal of Fe2NiAs relaxed with PBEsol.

abc: 2.688 3.620 4.849
angles: 90.00 90.00 90.00
Fractional positions:
Fe 0.000 0.000 0.243
Fe 0.000 0.000 0.757
Ni 0.500 0.500 0.000
As 0.500 0.500 0.500

The energy of formation is -0.09 eV per formula unit. Its space-group type is Pmmm.

---

- What is the energy of formation in the fourth record?
  9.82 eV per formula unit